[1]
## K2P3 (PBE-GGA)

Data for an optimized crystal structure of K2P3.

Results
energy of formation = -2.21 eV/f.u.
electronic total energy = -4.127 eV/atom

abc: 8.689 9.436 14.415
angles: 90.00 90.00 90.00
Space group Fmmm (No. 69)
One atom of each set of equivalent atoms:
K 0.000 0.229 0.000 [8 per cell]
K 0.250 0.250 0.250 [8 per cell]
P 0.000 0.000 0.349 [8 per cell]
P 0.216 0.000 0.425 [16 per cell]

[2]
## K2P3 (PBE-GGA)

Data for an optimized crystal structure of K2P3.

Results
energy of formation = -2.21 eV/f.u.
electronic total energy = -4.127 eV/atom

abc: 8.400 14.900 18.894
angles: 90.00 90.00 90.00
Space group Fddd (No. 70, origin choice 2)
One atom of each set of equivalent atoms:
K 0.125 0.125 0.000 [16 per cell]
K 0.125 0.125 0.489 [16 per cell]
P 0.099 0.302 0.877 [32 per cell]
P 0.125 0.270 0.625 [16 per cell]

[3]
## K3P2 (PBE-GGA)

Data for an optimized crystal structure of K3P2.

Results
energy of formation = 0.58 eV/f.u.
electronic total energy = -2.706 eV/atom

abc: 5.5439 5.5439 6.6962
angles: 90.00 90.00 120.00
Space group P-3m1 (No. 164)
One atom of each set of equivalent atoms:
K 0.0000 0.0000 0.0000 [1 per cell]
K 0.3333 0.6667 0.3203 [2 per cell]
P 0.3333 0.6667 0.8324 [2 per cell]

[4]
## K2P (PBE-GGA)

Data for an optimized crystal structure of K2P.

Results
energy of formation = -0.09 eV/f.u.
electronic total energy = -2.565 eV/atom
polymorph energy (0 for the lowest one) = 0.218 eV per atom

abc: 5.3625 5.3625 3.3539
angles: 90.00 90.00 120.00
Space group P-3m1 (No. 164)
One atom of each set of equivalent atoms:
K 0.3333 0.6667 0.0693 [2 per cell]
P 0.0000 0.0000 0.5000 [1 per cell]